Record 1
Entry from Alexandria via LeMat-Bulk: a relaxed MnAgOs crystal (PBE).

## Properties
Its total energy is -7.39 eV per atom. The calculation puts the total magnetization at 0.00 μB per formula unit.

```
data_MnAgOs
_chemical_formula_sum 'Mn1 Ag1 Os1'
_space_group_name_H-M_alt 'P 3 m 1'
_space_group_IT_number 156
_space_group_name_Hall 'P 3 -2"'
_cell_length_a 2.7073
_cell_length_b 2.7073
_cell_length_c 6.8497
_cell_angle_alpha 90.00
_cell_angle_beta 90.00
_cell_angle_gamma 120.00
loop_
_atom_site_label
_atom_site_fract_x
_atom_site_fract_y
_atom_site_fract_z
Mn1 0.0000 0.0000 0.0000
Ag1 0.3333 0.6667 0.6531
Os1 0.6667 0.3333 0.2780
```

Record 2
Entry from Alexandria via LeMat-Bulk: a relaxed MnAgOs crystal (PBE).

## Properties
Its total energy is -6.91 eV per atom. The calculation puts the total magnetization at 1.81 μB per formula unit.

```
data_MnAgOs
_chemical_formula_sum 'Mn4 Ag4 Os4'
_space_group_name_H-M_alt 'F -4 3 m'
_space_group_IT_number 216
_space_group_name_Hall 'F -4 2 3'
_cell_length_a 5.822
_cell_length_b 5.822
_cell_length_c 5.822
_cell_angle_alpha 90.00
_cell_angle_beta 90.00
_cell_angle_gamma 90.00
loop_
_atom_site_label
_atom_site_fract_x
_atom_site_fract_y
_atom_site_fract_z
Mn1 0.000 0.000 0.000
Ag1 0.250 0.250 0.750
Os1 0.250 0.250 0.250
```

Record 3
Entry from Alexandria via LeMat-Bulk: a relaxed MnAgOs2 crystal (PBE).

## Properties
Its total energy is -8.16 eV per atom. The calculation puts the total magnetization at 2.60 μB per formula unit.

```
data_MnAgOs2
_chemical_formula_sum 'Mn2 Ag2 Os4'
_space_group_name_H-M_alt 'C m m m'
_space_group_IT_number 65
_space_group_name_Hall '-C 2 2'
_cell_length_a 2.825
_cell_length_b 4.567
_cell_length_c 9.277
_cell_angle_alpha 90.00
_cell_angle_beta 90.00
_cell_angle_gamma 90.00
loop_
_atom_site_label
_atom_site_fract_x
_atom_site_fract_y
_atom_site_fract_z
Mn1 0.000 0.000 0.000
Ag1 0.000 0.000 0.500
Os1 0.000 0.500 0.226
```

Record 4
Entry from Alexandria via LeMat-Bulk: a relaxed MnAgOs2 crystal (PBE).

## Properties
Its total energy is -8.16 eV per atom. The calculation puts the total magnetization at 0.78 μB per formula unit.

```
data_MnAgOs2
_chemical_formula_sum 'Mn1 Ag1 Os2'
_space_group_name_H-M_alt 'P 4/m m m'
_space_group_IT_number 123
_space_group_name_Hall '-P 4 2'
_cell_length_a 2.685
_cell_length_b 2.685
_cell_length_c 7.943
_cell_angle_alpha 90.00
_cell_angle_beta 90.00
_cell_angle_gamma 90.00
loop_
_atom_site_label
_atom_site_fract_x
_atom_site_fract_y
_atom_site_fract_z
Mn1 0.000 0.000 0.000
Ag1 0.000 0.000 0.500
Os1 0.500 0.500 0.219
```

Record 5
Entry from Alexandria via LeMat-Bulk: a relaxed MnAgOs2 crystal (PBE).

## Properties
Its total energy is -8.09 eV per atom. The calculation puts the total magnetization at 2.93 μB per formula unit.

```
data_MnAgOs2
_chemical_formula_sum 'Mn2 Ag2 Os4'
_space_group_name_H-M_alt 'I -4 m 2'
_space_group_IT_number 119
_space_group_name_Hall 'I -4 -2'
_cell_length_a 3.891
_cell_length_b 3.891
_cell_length_c 7.696
_cell_angle_alpha 90.00
_cell_angle_beta 90.00
_cell_angle_gamma 90.00
loop_
_atom_site_label
_atom_site_fract_x
_atom_site_fract_y
_atom_site_fract_z
Mn1 0.000 0.000 0.000
Ag1 0.000 0.500 0.250
Os1 0.000 0.000 0.500
Os2 0.000 0.500 0.750
```

Record 6
Entry from Alexandria via LeMat-Bulk: a relaxed Mn3AgOs crystal (PBE).

## Properties
Its total energy is -7.13 eV per atom. The calculation puts the total magnetization at 10.87 μB per formula unit.

```
data_Mn3AgOs
_chemical_formula_sum 'Mn3 Ag1 Os1'
_space_group_name_H-M_alt 'P m -3 m'
_space_group_IT_number 221
_space_group_name_Hall '-P 4 2 3'
_cell_length_a 4.728
_cell_length_b 4.728
_cell_length_c 4.728
_cell_angle_alpha 90.00
_cell_angle_beta 90.00
_cell_angle_gamma 90.00
loop_
_atom_site_label
_atom_site_fract_x
_atom_site_fract_y
_atom_site_fract_z
Mn1 0.000 0.000 0.500
Ag1 0.500 0.500 0.500
Os1 0.000 0.000 0.000
```

Record 7
Entry from Alexandria via LeMat-Bulk: a relaxed MnAgOs2 crystal (PBE).

## Properties
Its total energy is -8.01 eV per atom. The calculation puts the total magnetization at 3.49 μB per formula unit.

```
data_MnAgOs2
_chemical_formula_sum 'Mn2 Ag2 Os4'
_space_group_name_H-M_alt 'I m m 2'
_space_group_IT_number 44
_space_group_name_Hall 'I 2 -2'
_cell_length_a 2.890
_cell_length_b 4.568
_cell_length_c 9.131
_cell_angle_alpha 90.00
_cell_angle_beta 90.00
_cell_angle_gamma 90.00
loop_
_atom_site_label
_atom_site_fract_x
_atom_site_fract_y
_atom_site_fract_z
Mn1 0.000 0.000 0.000
Ag1 0.000 0.500 0.244
Os1 0.000 0.000 0.475
Os2 0.000 0.500 0.742
```

Record 8
Entry from Alexandria via LeMat-Bulk: a relaxed Mn2AgOs2 crystal (PBE).

## Properties
Its total energy is -8.40 eV per atom. The calculation puts the total magnetization at 1.72 μB per formula unit.

```
data_Mn2AgOs2
_chemical_formula_sum 'Mn4 Ag2 Os4'
_space_group_name_H-M_alt 'P 4/m b m'
_space_group_IT_number 127
_space_group_name_Hall '-P 4 2ab'
_cell_length_a 7.356
_cell_length_b 7.356
_cell_length_c 2.649
_cell_angle_alpha 90.00
_cell_angle_beta 90.00
_cell_angle_gamma 90.00
loop_
_atom_site_label
_atom_site_fract_x
_atom_site_fract_y
_atom_site_fract_z
Mn1 0.164 0.336 0.000
Ag1 0.000 0.000 0.500
Os1 0.127 0.627 0.500
```

Record 9
Entry from Alexandria via LeMat-Bulk: a relaxed MnAgOs crystal (PBE).

## Properties
Its total energy is -7.29 eV per atom. The calculation puts the total magnetization at 3.30 μB per formula unit.

```
data_MnAgOs
_chemical_formula_sum 'Mn4 Ag4 Os4'
_space_group_name_H-M_alt 'F m m 2'
_space_group_IT_number 42
_space_group_name_Hall 'F 2 -2'
_cell_length_a 2.977
_cell_length_b 4.549
_cell_length_c 13.627
_cell_angle_alpha 90.00
_cell_angle_beta 90.00
_cell_angle_gamma 90.00
loop_
_atom_site_label
_atom_site_fract_x
_atom_site_fract_y
_atom_site_fract_z
Mn1 0.000 0.000 0.000
Ag1 0.000 0.000 0.671
Os1 0.000 0.000 0.355
```

Record 10
Entry from Alexandria via LeMat-Bulk: a relaxed MnAgOs2 crystal (PBE).

## Properties
Its total energy is -7.97 eV per atom. The calculation puts the total magnetization at 4.06 μB per formula unit.

```
data_MnAgOs2
_chemical_formula_sum 'Mn4 Ag4 Os8'
_space_group_name_H-M_alt 'F -4 3 m'
_space_group_IT_number 216
_space_group_name_Hall 'F -4 2 3'
_cell_length_a 6.227
_cell_length_b 6.227
_cell_length_c 6.227
_cell_angle_alpha 90.00
_cell_angle_beta 90.00
_cell_angle_gamma 90.00
loop_
_atom_site_label
_atom_site_fract_x
_atom_site_fract_y
_atom_site_fract_z
Mn1 0.000 0.000 0.000
Ag1 0.250 0.250 0.250
Os1 0.000 0.000 0.500
Os2 0.250 0.250 0.750
```

Record 11
Entry from Alexandria via LeMat-Bulk: a relaxed Mn2AgOs2 crystal (PBE).

## Properties
Its total energy is -8.40 eV per atom. The calculation puts the total magnetization at 0.00 μB per formula unit.

```
data_Mn2AgOs2
_chemical_formula_sum 'Mn4 Ag2 Os4'
_space_group_name_H-M_alt 'P 4/m b m'
_space_group_IT_number 127
_space_group_name_Hall '-P 4 2ab'
_cell_length_a 7.259
_cell_length_b 7.259
_cell_length_c 2.656
_cell_angle_alpha 90.00
_cell_angle_beta 90.00
_cell_angle_gamma 90.00
loop_
_atom_site_label
_atom_site_fract_x
_atom_site_fract_y
_atom_site_fract_z
Mn1 0.121 0.379 0.000
Ag1 0.000 0.000 0.000
Os1 0.165 0.665 0.500
```

Record 12
Entry from Alexandria via LeMat-Bulk: a relaxed MnAgOs2 crystal (PBE).

## Properties
Its total energy is -8.04 eV per atom. The calculation puts the total magnetization at 2.26 μB per formula unit.

```
data_MnAgOs2
_chemical_formula_sum 'Mn1 Ag1 Os2'
_space_group_name_H-M_alt 'P 4/m m m'
_space_group_IT_number 123
_space_group_name_Hall '-P 4 2'
_cell_length_a 3.840
_cell_length_b 3.840
_cell_length_c 3.966
_cell_angle_alpha 90.00
_cell_angle_beta 90.00
_cell_angle_gamma 90.00
loop_
_atom_site_label
_atom_site_fract_x
_atom_site_fract_y
_atom_site_fract_z
Mn1 0.000 0.000 0.000
Ag1 0.500 0.500 0.000
Os1 0.000 0.500 0.500
```